[1]
A geometry-optimized Tb2Dy2In structure. Source: the Alexandria database, functional GGA-PBE.

Unit cell a=4.3346 b=4.3346 c=9.1590 alpha=103.69 beta=103.69 gamma=90.00
Last column: nearest neighbours and their distance in Å.
Element x y z (fractional)
1 Tb 0.7500 0.2500 0.5000  4 Tb 3.07
2 Tb 0.2500 0.7500 0.5000  4 Tb 3.07
3 Dy 0.4112 0.4112 0.8223  1 Dy 3.07, 4 In 3.43
4 Dy 0.5888 0.5888 0.1777  1 Dy 3.07, 4 In 3.43
5 In 0.0000 0.0000 0.0000  8 Dy 3.43

Values from the calculation:
As for the energy above the most stable polymorph in this dataset: 285 meV per atom. The mass density is 7.758 g cm⁻³. The formation energy is 290 meV per atom. The density of states at the Fermi level is 1.59 states/eV/atom.



[2]
A geometry-optimized Tb2DyIn structure. Source: the Alexandria database, functional GGA-PBE.

Unit cell a=4.8586 b=4.8552 c=4.8552 alpha=90.00 beta=90.00 gamma=90.00
Last column: nearest neighbours and their distance in Å.
Element x y z (fractional)
1 In 0.5000 0.0000 0.0000  4 Dy 3.43, 8 Tb 3.43
2 Tb 0.0000 0.0000 0.5000  4 Tb 3.43, 4 In 3.43, 4 Dy 3.43
3 Tb 0.0000 0.5000 0.0000  4 Tb 3.43, 4 In 3.43, 4 Dy 3.43
4 Dy 0.5000 0.5000 0.5000  4 In 3.43, 8 Tb 3.43

Values from the calculation:
As for the energy above the most stable polymorph in this dataset: 0 meV per atom. The mass density is 8.629 g cm⁻³. The formation energy is -268 meV per atom. The density of states at the Fermi level is 1.63 states/eV/atom.